VASP calculation (GGA-PBE) on a relaxed structure of Hf4MgTlC2.

Results
Energy: -8.323 eV/atom

Structure (CIF):
```
data_Hf4MgTlC2
_cell_length_a 3.3126
_cell_length_b 3.3126
_cell_length_c 15.2765
_cell_angle_alpha 90.00
_cell_angle_beta 90.00
_cell_angle_gamma 120.00
_space_group_name_H-M_alt 'P -6 m 2'
_space_group_IT_number 187
_space_group_name_Hall 'P -6 2'
loop_
_atom_site_label
_atom_site_fract_x
_atom_site_fract_y
_atom_site_fract_z
Hf1 0.0000 0.0000 0.1667
Hf2 0.3333 0.6667 0.3271
Mg1 0.0000 0.0000 0.5000
Tl1 0.3333 0.6667 0.0000
C1 0.6667 0.3333 0.2459
```

=====

VASP calculation (GGA-PBE) on a relaxed structure of ZrCuAsIr.

Results
ΔE to the lowest computed polymorph: 27.5 meV per atom
Energy: -6.705 eV/atom

Structure (CIF):
```
data_ZrCuAsIr
_cell_length_a 6.412
_cell_length_b 6.412
_cell_length_c 6.412
_cell_angle_alpha 90.00
_cell_angle_beta 90.00
_cell_angle_gamma 90.00
_space_group_name_H-M_alt 'F -4 3 m'
_space_group_IT_number 216
_space_group_name_Hall 'F -4 2 3'
loop_
_atom_site_label
_atom_site_fract_x
_atom_site_fract_y
_atom_site_fract_z
Zr1 0.000 0.000 0.000
Cu1 0.000 0.000 0.500
As1 0.250 0.250 0.250
Ir1 0.250 0.250 0.750
```

=====

VASP calculation (GGA-PBE) on a relaxed structure of PmGa3S.

Results
Energy: -3.557 eV/atom

Structure (CIF):
```
data_PmGa3S
_cell_length_a 4.877
_cell_length_b 4.877
_cell_length_c 4.877
_cell_angle_alpha 90.00
_cell_angle_beta 90.00
_cell_angle_gamma 90.00
_space_group_name_H-M_alt 'P m -3 m'
_space_group_IT_number 221
_space_group_name_Hall '-P 4 2 3'
loop_
_atom_site_label
_atom_site_fract_x
_atom_site_fract_y
_atom_site_fract_z
Pm1 0.000 0.000 0.000
Ga1 0.000 0.500 0.500
S1 0.500 0.500 0.500
```